Computed, not measured: a relaxed structure of Na4Pm3PrS8 at the PBE level of DFT.

a = 8.2337 Å, b = 8.2135 Å, c = 8.2333 Å
α = 120.11°, β = 120.00°, γ = 90.00°
With the nearest neighbours (Å) after each atom.
Sites, in units of the cell vectors:
Na 0.5000 0.0000 0.0000  6 S 2.95-2.96
Na 0.5000 0.0000 0.5000  6 S 2.98
Na 0.0000 0.0000 0.0000  6 S 2.98
Na 0.0000 0.0000 0.5000  6 S 2.98
Pm 0.5000 0.5000 0.0000  6 S 2.83-2.84
Pm 0.5000 0.5000 0.5000  6 S 2.83-2.84
Pm 0.0000 0.5000 0.5000  6 S 2.83-2.84
Pr 0.0000 0.5000 0.0000  6 S 2.86
S 0.2461 0.7331 0.9872  2 Pm 2.83, 1 Pr 2.86, 3 Na 2.96-2.98
S 0.2461 0.7330 0.4921  2 Pm 2.83, 1 Pr 2.86, 3 Na 2.95-2.98
S 0.2561 0.2685 0.5122  3 Pm 2.84, 3 Na 2.98
S 0.7412 0.7331 0.9872  2 Pm 2.83, 1 Pr 2.86, 3 Na 2.96-2.98
S 0.2588 0.2669 0.0127  2 Pm 2.83, 1 Pr 2.86, 3 Na 2.96-2.98
S 0.7439 0.7315 0.4878  3 Pm 2.84, 3 Na 2.98
S 0.7539 0.2670 0.5079  2 Pm 2.83, 1 Pr 2.86, 3 Na 2.95-2.98
S 0.7539 0.2669 0.0127  2 Pm 2.83, 1 Pr 2.86, 3 Na 2.96-2.98

The value obtained for the formation energy from raw total energies is -1.802 eV per atom. The energy comes out at -5.385 eV per atom. The density of states at the Fermi level comes out at 0.00 states/eV/cell. The total magnetic moment is 0.000 μB per cell.

=====

Computed, not measured: a relaxed structure of RhPb2Au at the PBE level of DFT.

a = 6.8806 Å, b = 6.8806 Å, c = 6.8806 Å
α = 152.73°, β = 141.73°, γ = 47.63°
With the nearest neighbours (Å) after each atom.
Sites, in units of the cell vectors:
Rh 0.4979 0.4979 0.0000  6 Pb 2.79-2.99, 2 Au 2.89
Pb 0.0153 0.0153 0.0000  4 Rh 2.79
Pb 0.2986 0.7986 0.5000  2 Rh 2.99, 4 Au 3.11, 2 Pb 3.24
Au 0.6883 0.1883 0.5000  2 Rh 2.89, 6 Pb 3.11-3.14

The energy comes out at -4.470 eV per atom. The density of states at the Fermi level comes out at 2.88 states/eV/cell. The total magnetic moment is 0.000 μB per cell.

=====

Computed, not measured: a relaxed structure of Rb2PrYSe4 at the PBE level of DFT.

a = 4.3291 Å, b = 7.4980 Å, c = 8.3939 Å
α = 107.31°, β = 90.00°, γ = 90.00°
With the nearest neighbours (Å) after each atom.
Sites, in units of the cell vectors:
Rb 0.5000 0.0000 0.5000  6 Se 3.44
Rb 0.0000 0.5000 0.5000  6 Se 3.51
Pr 0.5000 0.5000 0.0000  6 Se 3.00-3.01
Y 0.0000 0.0000 0.0000  6 Se 2.92-2.93
Se 0.5000 0.2243 0.1973  2 Y 2.93, 1 Pr 3.01
Se 0.5000 0.7757 0.8027  2 Y 2.93, 1 Pr 3.01
Se 0.0000 0.2580 0.7992  1 Y 2.92, 2 Pr 3.00
Se 0.0000 0.7420 0.2008  1 Y 2.92, 2 Pr 3.00

The value obtained for the formation energy from raw total energies is -1.735 eV per atom. The energy comes out at -5.125 eV per atom. The density of states at the Fermi level comes out at 0.00 states/eV/cell. The total magnetic moment is 0.000 μB per cell.

=====

Computed, not measured: a relaxed structure of CaBeP4 at the PBE level of DFT.

a = 5.2129 Å, b = 5.2129 Å, c = 5.2129 Å
α = 60.00°, β = 60.00°, γ = 60.00°
With the nearest neighbours (Å) after each atom.
Sites, in units of the cell vectors:
Ca 0.0000 0.0000 0.0000  12 P 3.08, 4 Be 3.19
Be 0.7500 0.7500 0.7500  12 P 3.04, 4 Ca 3.19
P 0.8494 0.3835 0.3835  3 P 2.43
P 0.3835 0.3835 0.8494  3 P 2.43
P 0.3835 0.8494 0.3835  3 P 2.43
P 0.3835 0.3835 0.3835  3 P 2.43

The energy comes out at -4.263 eV per atom. The density of states at the Fermi level comes out at 3.62 states/eV/cell. The total magnetic moment is 0.000 μB per cell.

=====

Computed, not measured: a relaxed structure of Ca3Cu3Ge at the PBE level of DFT.

a = 4.3070 Å, b = 5.7266 Å, c = 13.7753 Å
α = 85.71°, β = 81.01°, γ = 67.91°
With the nearest neighbours (Å) after each atom.
Sites, in units of the cell vectors:
Ca 0.5398 0.3096 0.6108  7 Cu 3.00-3.27, 4 Ge 3.08-3.19
Ca 0.4602 0.6904 0.3892  7 Cu 3.00-3.27, 4 Ge 3.08-3.19
Ca 0.2440 0.2796 0.2324  6 Cu 3.04-3.16, 2 Ge 3.17
Ca 0.7560 0.7204 0.7676  6 Cu 3.04-3.16, 2 Ge 3.17
Ca 0.3944 0.2888 0.9224  7 Cu 3.04-3.16
Ca 0.6056 0.7112 0.0776  7 Cu 3.04-3.16
Cu 0.8598 0.7398 0.5407  2 Ge 2.48
Cu 0.1402 0.2602 0.4593  2 Ge 2.48
Cu 0.0972 0.8833 0.9224  2 Cu 2.46-2.47
Cu 0.9028 0.1167 0.0776  2 Cu 2.46-2.47
Cu 0.9460 0.8744 0.2336  1 Cu 2.46, 1 Ge 2.50
Cu 0.0540 0.1256 0.7664  1 Cu 2.46, 1 Ge 2.50
Ge 0.7497 0.1092 0.3915  3 Cu 2.48-2.50
Ge 0.2503 0.8908 0.6085  3 Cu 2.48-2.50

The energy comes out at -3.535 eV per atom. The density of states at the Fermi level comes out at 6.11 states/eV/cell. The total magnetic moment is 0.000 μB per cell.

=====

Computed, not measured: a relaxed structure of Ba3Ge5Se12 at the PBE level of DFT.

a = 14.5252 Å, b = 14.5252 Å, c = 14.5252 Å
α = 109.47°, β = 109.47°, γ = 109.47°
With the nearest neighbours (Å) after each atom.
Sites, in units of the cell vectors:
Ba 0.7500 0.3750 0.1250  8 Se 3.30-3.36
Ba 0.8750 0.7500 0.1250  8 Se 3.30-3.36
Ba 0.3750 0.7500 0.6250  8 Se 3.30-3.36
Ba 0.2500 0.1250 0.3750  8 Se 3.30-3.36
Ba 0.8750 0.1250 0.2500  8 Se 3.30-3.36
Ba 0.3750 0.6250 0.2500  8 Se 3.30-3.36
Ba 0.6250 0.3750 0.7500  8 Se 3.30-3.36
Ba 0.1250 0.8750 0.7500  8 Se 3.30-3.36
Ba 0.7500 0.8750 0.6250  8 Se 3.30-3.36
Ba 0.6250 0.2500 0.3750  8 Se 3.30-3.36
Ba 0.1250 0.2500 0.8750  8 Se 3.30-3.36
Ba 0.2500 0.6250 0.8750  8 Se 3.30-3.36
Ge 0.1250 0.3750 0.2500  4 Se 2.44
Ge 0.0000 0.5000 0.0000  6 Se 2.73
Ge 0.0000 0.0000 0.0000  6 Se 2.73
Ge 0.3750 0.2500 0.1250  4 Se 2.44
Ge 0.5000 0.0000 0.5000  6 Se 2.73
Ge 0.5000 0.5000 0.0000  6 Se 2.73
Ge 0.1250 0.7500 0.3750  4 Se 2.44
Ge 0.7500 0.1250 0.8750  4 Se 2.44
Ge 0.7500 0.6250 0.3750  4 Se 2.44
Ge 0.3750 0.1250 0.7500  4 Se 2.44
Ge 0.6250 0.8750 0.2500  4 Se 2.44
Ge 0.5000 0.5000 0.5000  6 Se 2.73
Ge 0.5000 0.0000 0.0000  6 Se 2.73
Ge 0.0000 0.0000 0.5000  6 Se 2.73
Ge 0.2500 0.3750 0.6250  4 Se 2.44
Ge 0.2500 0.8750 0.1250  4 Se 2.44
Ge 0.0000 0.5000 0.5000  6 Se 2.73
Ge 0.8750 0.2500 0.6250  4 Se 2.44
Ge 0.6250 0.7500 0.8750  4 Se 2.44
Ge 0.8750 0.6250 0.7500  4 Se 2.44
Se 0.7033 0.1140 0.0187  2 Ge 2.44-2.73
Se 0.3154 0.5187 0.4048  2 Ge 2.44-2.73
Se 0.9813 0.3860 0.2967  2 Ge 2.44-2.73
Se 0.5187 0.2033 0.1140  2 Ge 2.44-2.73
Se 0.5893 0.7033 0.6846  2 Ge 2.44-2.73
Se 0.9813 0.5952 0.1846  2 Ge 2.44-2.73
Se 0.3154 0.7967 0.4107  2 Ge 2.44-2.73
Se 0.0952 0.9107 0.1140  2 Ge 2.44-2.73
Se 0.5952 0.9813 0.6846  2 Ge 2.44-2.73
Se 0.7033 0.5893 0.1846  2 Ge 2.44-2.73
Se 0.7967 0.4813 0.3860  2 Ge 2.44-2.73
Se 0.8154 0.9048 0.0187  2 Ge 2.44-2.73
Se 0.1140 0.7033 0.5187  2 Ge 2.44-2.73
Se 0.3860 0.4048 0.0893  2 Ge 2.44-2.73
Se 0.0893 0.9048 0.3860  2 Ge 2.44-2.73
Se 0.4107 0.1140 0.5952  2 Ge 2.44-2.73
Se 0.0893 0.1846 0.2033  2 Ge 2.44-2.73
Se 0.4813 0.6846 0.0952  2 Ge 2.44-2.73
Se 0.8154 0.9107 0.2967  2 Ge 2.44-2.73
Se 0.1140 0.4107 0.0952  2 Ge 2.44-2.73
Se 0.3860 0.9813 0.7967  2 Ge 2.44-2.73
Se 0.5952 0.6140 0.4107  2 Ge 2.44-2.73
Se 0.9048 0.8154 0.5187  2 Ge 2.44-2.73
Se 0.7967 0.3154 0.9107  2 Ge 2.44-2.73
Se 0.4048 0.3860 0.5893  2 Ge 2.44-2.73
Se 0.0952 0.1846 0.4813  2 Ge 2.44-2.73
Se 0.2033 0.6846 0.0893  2 Ge 2.44-2.73
Se 0.1846 0.0893 0.7033  2 Ge 2.44-2.73
Se 0.6140 0.0187 0.2033  2 Ge 2.44-2.73
Se 0.8860 0.5893 0.9048  2 Ge 2.44-2.73
Se 0.5187 0.3154 0.9048  2 Ge 2.44-2.73
Se 0.5893 0.8860 0.4048  2 Ge 2.44-2.73
Se 0.9107 0.8154 0.7967  2 Ge 2.44-2.73
Se 0.9107 0.0952 0.6140  2 Ge 2.44-2.73
Se 0.8860 0.2967 0.4813  2 Ge 2.44-2.73
Se 0.1846 0.0952 0.9813  2 Ge 2.44-2.73
Se 0.6140 0.5952 0.9107  2 Ge 2.44-2.73
Se 0.4048 0.0187 0.3154  2 Ge 2.44-2.73
Se 0.2967 0.4107 0.8154  2 Ge 2.44-2.73
Se 0.2033 0.5187 0.6140  2 Ge 2.44-2.73
Se 0.9048 0.0893 0.8860  2 Ge 2.44-2.73
Se 0.6846 0.2033 0.5893  2 Ge 2.44-2.73
Se 0.4813 0.7967 0.8860  2 Ge 2.44-2.73
Se 0.0187 0.4048 0.8154  2 Ge 2.44-2.73
Se 0.4107 0.2967 0.3154  2 Ge 2.44-2.73
Se 0.0187 0.6140 0.7033  2 Ge 2.44-2.73
Se 0.6846 0.4813 0.5952  2 Ge 2.44-2.73
Se 0.2967 0.8860 0.9813  2 Ge 2.44-2.73

The value obtained for the formation energy from raw total energies is -0.728 eV per atom. The energy comes out at -4.261 eV per atom. The density of states at the Fermi level comes out at 37.17 states/eV/cell. The total magnetic moment is 0.000 μB per cell.

=====

Computed, not measured: a relaxed structure of Na2MoPdRu at the PBE level of DFT.

a = 4.9253 Å, b = 5.0129 Å, c = 4.9253 Å
α = 90.00°, β = 90.00°, γ = 90.00°
With the nearest neighbours (Å) after each atom.
Sites, in units of the cell vectors:
Ru 0.0000 0.5000 0.0000  2 Pd 2.51
Mo 0.5000 0.5000 0.5000  4 Ru 3.48, 8 Na 3.51
Pd 0.0000 0.0000 0.0000  4 Na 2.46, 2 Ru 2.51
Na 0.0000 0.0000 0.5000  2 Pd 2.46
Na 0.5000 0.0000 0.0000  2 Pd 2.46

The energy comes out at -4.056 eV per atom. The density of states at the Fermi level comes out at 3.70 states/eV/cell. The total magnetic moment is 2.500 μB per cell.

=====

Computed, not measured: a relaxed structure of SrLa2Rh2 at the PBE level of DFT.

a = 4.2787 Å, b = 8.1887 Å, c = 9.5686 Å
α = 104.10°, β = 90.01°, γ = 74.81°
With the nearest neighbours (Å) after each atom.
Sites, in units of the cell vectors:
Sr 0.5305 0.9384 0.7028  3 Rh 3.08-3.10
Sr 0.4695 0.0616 0.2972  3 Rh 3.08-3.10
La 0.2004 0.5986 0.3669  5 Rh 2.88-2.95
La 0.1499 0.7003 0.9828  4 Rh 2.80-2.91
La 0.7996 0.4014 0.6331  5 Rh 2.88-2.95
La 0.8501 0.2997 0.0172  4 Rh 2.80-2.91
Rh 0.1734 0.6531 0.6830  4 La 2.80-2.95, 2 Sr 3.08, 1 Rh 3.09
Rh 0.3299 0.3414 0.8235  5 La 2.86-2.93, 1 Rh 3.09, 1 Sr 3.10
Rh 0.8266 0.3469 0.3170  4 La 2.80-2.95, 2 Sr 3.08, 1 Rh 3.09
Rh 0.6701 0.6586 0.1765  5 La 2.86-2.93, 1 Rh 3.09, 1 Sr 3.10

The energy comes out at -5.823 eV per atom. The density of states at the Fermi level comes out at 5.73 states/eV/cell. The total magnetic moment is 0.000 μB per cell.

=====

Computed, not measured: a relaxed structure of Rb2BaS at the PBE level of DFT.

a = 12.5185 Å, b = 12.5185 Å, c = 9.3586 Å
α = 48.02°, β = 48.02°, γ = 90.00°
With the nearest neighbours (Å) after each atom.
Sites, in units of the cell vectors:
S 0.5000 0.5000 0.0000  2 Ba 3.04
S 0.2500 0.7500 0.5000  2 Ba 3.04
Ba 0.0000 0.0000 0.0000  2 S 3.04
Ba 0.7500 0.2500 0.5000  2 S 3.04
Rb 0.4781 0.1250 0.2500  2 S 3.47
Rb 0.2719 0.6250 0.2500  2 S 3.47
Rb 0.3750 0.5219 0.7500  2 S 3.47
Rb 0.8750 0.7281 0.7500  2 S 3.47

The value obtained for the formation energy from raw total energies is -0.679 eV per atom. The energy comes out at -2.676 eV per atom. The density of states at the Fermi level comes out at 3.57 states/eV/cell. The total magnetic moment is 0.000 μB per cell.

=====

Computed, not measured: a relaxed structure of MnAl2MoRh at the PBE level of DFT.

a = 4.7306 Å, b = 4.3640 Å, c = 4.7306 Å
α = 90.00°, β = 90.00°, γ = 90.00°
With the nearest neighbours (Å) after each atom.
Sites, in units of the cell vectors:
Mo 0.0000 0.0000 0.0000  2 Mn 2.18, 4 Al 2.37
Mn 0.0000 0.5000 0.0000  2 Mo 2.18
Rh 0.5000 0.5000 0.5000  8 Al 3.22, 4 Mn 3.35
Al 0.0000 0.0000 0.5000  2 Mo 2.37
Al 0.5000 0.0000 0.0000  2 Mo 2.37

The energy comes out at -5.954 eV per atom. The density of states at the Fermi level comes out at 3.05 states/eV/cell. The total magnetic moment is 2.196 μB per cell.

=====

Computed, not measured: a relaxed structure of RbHf2ZrRu at the PBE level of DFT.

a = 5.1516 Å, b = 5.4509 Å, c = 5.1516 Å
α = 90.00°, β = 90.00°, γ = 90.00°
With the nearest neighbours (Å) after each atom.
Sites, in units of the cell vectors:
Ru 0.5000 0.5000 0.5000  4 Rb 3.64, 8 Hf 3.75
Hf 0.0000 0.0000 0.5000  2 Zr 2.58
Hf 0.5000 0.0000 0.0000  2 Zr 2.58
Rb 0.0000 0.5000 0.0000  2 Zr 2.73
Zr 0.0000 0.0000 0.0000  4 Hf 2.58, 2 Rb 2.73

The energy comes out at -5.716 eV per atom. The density of states at the Fermi level comes out at 4.98 states/eV/cell. The total magnetic moment is 1.568 μB per cell.

=====

Computed, not measured: a relaxed structure of AlRh2 at the PBE level of DFT.

a = 4.8295 Å, b = 4.8295 Å, c = 4.8295 Å
α = 105.78°, β = 105.78°, γ = 117.13°
With the nearest neighbours (Å) after each atom.
Sites, in units of the cell vectors:
Al 0.2500 0.2500 0.0000  2 Al 2.52, 8 Rh 2.54
Al 0.7500 0.7500 0.0000  2 Al 2.52, 8 Rh 2.54
Rh 0.8441 0.3441 0.1883  4 Al 2.54, 1 Rh 2.57
Rh 0.1559 0.6559 0.8117  4 Al 2.54, 1 Rh 2.57
Rh 0.3441 0.1559 0.5000  4 Al 2.54, 1 Rh 2.57
Rh 0.6559 0.8441 0.5000  4 Al 2.54, 1 Rh 2.57

The energy comes out at -6.619 eV per atom. The density of states at the Fermi level comes out at 7.57 states/eV/cell. The total magnetic moment is 0.001 μB per cell.